A.
YTlP2O after structural relaxation. Source: the Alexandria database, functional PBE.

Cell: 5.0737 5.0737 4.2135 Å, 90.00 90.00 90.00°
Sites, in units of the cell vectors:
Y 0.0000 0.0000 0.0000
Tl 0.5000 0.5000 0.5000
P 0.0000 0.5000 0.5000
P 0.5000 0.0000 0.5000
O 0.5000 0.5000 0.0000

---

B.
YTlP2O after structural relaxation. Source: the Alexandria database, functional PBE.

Cell: 5.5290 5.5290 4.2784 Å, 90.00 90.00 90.00°
Sites, in units of the cell vectors:
Y 0.0000 0.0000 0.0000
Tl 0.5000 0.5000 0.5000
P 0.0000 0.5000 0.0000
P 0.5000 0.0000 0.0000
O 0.0000 0.0000 0.5000

---

Name the most stable of them. B.

---

A.
Y2TlPO after structural relaxation. Source: the Alexandria database, functional PBE.

Cell: 5.2689 5.2689 4.8901 Å, 90.00 90.00 90.00°
Sites, in units of the cell vectors:
Y 0.0000 0.5000 0.0000
Y 0.5000 0.0000 0.0000
Tl 0.0000 0.0000 0.5000
P 0.0000 0.0000 0.0000
O 0.5000 0.5000 0.5000

---

B.
Y2TlPO after structural relaxation. Source: the Alexandria database, functional PBE.

Cell: 5.7160 5.7160 4.7755 Å, 90.00 90.00 90.00°
Sites, in units of the cell vectors:
Y 0.0000 0.5000 0.0000
Y 0.5000 0.0000 0.0000
Tl 0.0000 0.0000 0.0000
P 0.0000 0.0000 0.5000
O 0.5000 0.5000 0.5000

---

Name the most stable of them. A.

---

A.
Tm2P4O13 after structural relaxation. Source: the Alexandria database, functional PBE.

Cell: 9.3720 9.3720 8.5830 Å, 90.00 90.00 135.87°
Sites, in units of the cell vectors:
Tm 0.1030 0.3953 0.1480
Tm 0.3953 0.1030 0.8520
Tm 0.6047 0.8970 0.3520
Tm 0.8970 0.6047 0.6480
P 0.0803 0.4016 0.5002
P 0.2213 0.3476 0.7757
P 0.3476 0.2213 0.2243
P 0.4016 0.0803 0.4998
P 0.5984 0.9197 0.9998
P 0.6524 0.7787 0.7243
P 0.7787 0.6524 0.2757
P 0.9197 0.5984 0.0002
O 0.0148 0.4750 0.6052
O 0.0804 0.7643 0.8810
O 0.0969 0.3279 0.9015
O 0.1162 0.2865 0.6080
O 0.2357 0.9196 0.6190
O 0.2379 0.2813 0.2023
O 0.2734 0.5706 0.4007
O 0.2813 0.2379 0.7977
O 0.2865 0.1162 0.3920
O 0.3279 0.0969 0.0985
O 0.4135 0.5865 0.7500
O 0.4294 0.7266 0.0993
O 0.4750 0.0148 0.3948
O 0.5250 0.9852 0.8948
O 0.5706 0.2734 0.5993
O 0.5865 0.4135 0.2500
O 0.6721 0.9031 0.5985
O 0.7135 0.8838 0.8920
O 0.7187 0.7621 0.2977
O 0.7266 0.4294 0.9007
O 0.7621 0.7187 0.7023
O 0.7643 0.0804 0.1190
O 0.8838 0.7135 0.1080
O 0.9031 0.6721 0.4015
O 0.9196 0.2357 0.3810
O 0.9852 0.5250 0.1052

---

B.
Tm2P4O13 after structural relaxation. Source: the Alexandria database, functional PBE.

Cell: 6.8577 6.8577 12.8954 Å, 104.83 104.83 59.12°
Sites, in units of the cell vectors:
Tm 0.1905 0.2004 0.0496
Tm 0.2004 0.1905 0.5496
Tm 0.7996 0.8095 0.4504
Tm 0.8095 0.7996 0.9504
P 0.2513 0.2767 0.3388
P 0.2767 0.2513 0.8388
P 0.3273 0.6480 0.1331
P 0.3520 0.6727 0.3669
P 0.6480 0.3273 0.6331
P 0.6727 0.3520 0.8669
P 0.7233 0.7487 0.1612
P 0.7487 0.7233 0.6612
O 0.0510 0.4224 0.4043
O 0.0798 0.4221 0.9042
O 0.1580 0.8206 0.0564
O 0.1794 0.8420 0.4436
O 0.1898 0.2038 0.2199
O 0.2038 0.1898 0.7199
O 0.2415 0.7585 0.2500
O 0.3701 0.4052 0.1036
O 0.3784 0.4235 0.3469
O 0.4052 0.3701 0.6036
O 0.4224 0.0510 0.9043
O 0.4221 0.0798 0.4042
O 0.4235 0.3784 0.8469
O 0.5765 0.6216 0.1531
O 0.5779 0.9202 0.5958
O 0.5776 0.9490 0.0957
O 0.5948 0.6299 0.3964
O 0.6216 0.5765 0.6531
O 0.6299 0.5948 0.8964
O 0.7585 0.2415 0.7500
O 0.7962 0.8102 0.2801
O 0.8102 0.7962 0.7801
O 0.8206 0.1580 0.5564
O 0.8420 0.1794 0.9436
O 0.9202 0.5779 0.0958
O 0.9490 0.5776 0.5957

---

Name the most stable of them. A.

---

A.
TmP3O9 after structural relaxation. Source: the Alexandria database, functional PBE.

Cell: 11.4089 20.2510 10.1554 Å, 90.00 97.76 90.00°
Sites, in units of the cell vectors:
Tm 0.0000 0.0000 0.0000
Tm 0.0004 0.1568 0.4852
Tm 0.0004 0.3432 0.9852
Tm 0.0000 0.5000 0.5000
Tm 0.9996 0.6568 0.0148
Tm 0.9996 0.8432 0.5148
Tm 0.4978 0.6754 0.0230
Tm 0.4978 0.8246 0.5230
Tm 0.5000 0.0000 0.0000
Tm 0.5000 0.5000 0.5000
Tm 0.5022 0.1754 0.4770
Tm 0.5022 0.3246 0.9770
P 0.1349 0.7206 0.3216
P 0.1349 0.7794 0.8216
P 0.1469 0.1168 0.8084
P 0.1469 0.3832 0.3084
P 0.1727 0.0429 0.3185
P 0.1727 0.4571 0.8185
P 0.2399 0.2273 0.9931
P 0.2399 0.2727 0.4931
P 0.2480 0.6098 0.4820
P 0.2480 0.8902 0.9820
P 0.2655 0.5541 0.0270
P 0.2655 0.9459 0.5270
P 0.3293 0.7102 0.6957
P 0.3293 0.7898 0.1957
P 0.3488 0.1233 0.1784
P 0.3488 0.3767 0.6784
P 0.3609 0.0625 0.6899
P 0.3609 0.4375 0.1899
P 0.6391 0.5625 0.8101
P 0.6391 0.9375 0.3101
P 0.6512 0.6233 0.3216
P 0.6512 0.8767 0.8216
P 0.6707 0.2102 0.8043
P 0.6707 0.2898 0.3043
P 0.7345 0.0541 0.4730
P 0.7345 0.4459 0.9730
P 0.7520 0.1098 0.0180
P 0.7520 0.3902 0.5180
P 0.7601 0.7273 0.5069
P 0.7601 0.7727 0.0069
P 0.8273 0.5429 0.1815
P 0.8273 0.9571 0.6815
P 0.8531 0.6168 0.6916
P 0.8531 0.8832 0.1916
P 0.8651 0.2206 0.1784
P 0.8651 0.2794 0.6784
O 0.0423 0.6856 0.2278
O 0.0423 0.8144 0.7278
O 0.0547 0.1214 0.6891
O 0.0547 0.3786 0.1891
O 0.0959 0.7405 0.9336
O 0.0959 0.7595 0.4336
O 0.1017 0.0185 0.1939
O 0.1017 0.4815 0.6939
O 0.1095 0.0766 0.4195
O 0.1095 0.4234 0.9195
O 0.1231 0.0680 0.9126
O 0.1231 0.4320 0.4126
O 0.1266 0.5818 0.4828
O 0.1266 0.9182 0.9828
O 0.1552 0.5924 0.0389
O 0.1552 0.9076 0.5389
O 0.1602 0.2184 0.5264
O 0.1602 0.2816 0.0264
O 0.1660 0.1897 0.8691
O 0.1660 0.3103 0.3691
O 0.2024 0.7318 0.7316
O 0.2024 0.7682 0.2316
O 0.2404 0.6706 0.3787
O 0.2404 0.8294 0.8787
O 0.2484 0.1731 0.1093
O 0.2484 0.3269 0.6093
O 0.2519 0.5167 0.8862
O 0.2519 0.9833 0.3862
O 0.2719 0.0035 0.6366
O 0.2719 0.4965 0.1366
O 0.2760 0.0907 0.2853
O 0.2759 0.1064 0.7672
O 0.2759 0.3936 0.2672
O 0.2760 0.4093 0.7853
O 0.2918 0.6413 0.6257
O 0.2918 0.8587 0.1257
O 0.3459 0.5657 0.4509
O 0.3459 0.9343 0.9509
O 0.3617 0.2462 0.9658
O 0.3617 0.2538 0.4658
O 0.3692 0.7430 0.0965
O 0.3692 0.7570 0.5965
O 0.3803 0.5905 0.0385
O 0.3803 0.9095 0.5385
O 0.3821 0.0745 0.0787
O 0.3821 0.4255 0.5787
O 0.3943 0.1018 0.5755
O 0.3943 0.3982 0.0755
O 0.4111 0.6965 0.8206
O 0.4111 0.8035 0.3206
O 0.4454 0.1611 0.2602
O 0.4454 0.3389 0.7602
O 0.4578 0.0373 0.7923
O 0.4578 0.4627 0.2923
O 0.5422 0.5373 0.7077
O 0.5422 0.9627 0.2077
O 0.5546 0.6611 0.2398
O 0.5546 0.8389 0.7398
O 0.5889 0.1965 0.6794
O 0.5889 0.3035 0.1794
O 0.6057 0.6018 0.9245
O 0.6057 0.8982 0.4245
O 0.6179 0.5745 0.4213
O 0.6179 0.9255 0.9213
O 0.6197 0.0905 0.4615
O 0.6197 0.4095 0.9615
O 0.6308 0.2430 0.4035
O 0.6308 0.2570 0.9035
O 0.6383 0.7462 0.5342
O 0.6383 0.7538 0.0342
O 0.6541 0.0657 0.0491
O 0.6541 0.4343 0.5491
O 0.7082 0.1413 0.8743
O 0.7082 0.3587 0.3743
O 0.7240 0.5907 0.2147
O 0.7241 0.6064 0.7328
O 0.7241 0.8936 0.2328
O 0.7240 0.9093 0.7147
O 0.7281 0.5035 0.8634
O 0.7281 0.9965 0.3634
O 0.7481 0.0167 0.6138
O 0.7481 0.4833 0.1138
O 0.7516 0.6731 0.3907
O 0.7516 0.8269 0.8907
O 0.7596 0.1706 0.1213
O 0.7596 0.3294 0.6213
O 0.7976 0.2318 0.7684
O 0.7976 0.2682 0.2684
O 0.8340 0.6897 0.6309
O 0.8340 0.8103 0.1309
O 0.8398 0.7184 0.9736
O 0.8398 0.7816 0.4736
O 0.8448 0.0924 0.4611
O 0.8448 0.4076 0.9611
O 0.8734 0.0818 0.0172
O 0.8734 0.4182 0.5172
O 0.8769 0.5680 0.5874
O 0.8769 0.9320 0.0874
O 0.8905 0.5766 0.0805
O 0.8905 0.9234 0.5805
O 0.8983 0.5185 0.3061
O 0.8983 0.9815 0.8061
O 0.9041 0.2405 0.5664
O 0.9041 0.2595 0.0664
O 0.9453 0.6214 0.8109
O 0.9453 0.8786 0.3109
O 0.9577 0.1856 0.2722
O 0.9577 0.3144 0.7722

---

B.
TmP3O9 after structural relaxation. Source: the Alexandria database, functional PBE.

Cell: 6.9171 6.9171 7.1668 Å, 90.00 90.00 104.89°
Sites, in units of the cell vectors:
Tm 0.1269 0.1269 0.0000
Tm 0.8731 0.8731 0.5000
P 0.2494 0.2494 0.5000
P 0.3068 0.6654 0.9589
P 0.3346 0.6932 0.5411
P 0.6654 0.3068 0.0411
P 0.6932 0.3346 0.4589
P 0.7506 0.7506 0.0000
O 0.1315 0.1708 0.6747
O 0.1702 0.7957 0.5286
O 0.1708 0.1315 0.3253
O 0.2043 0.8298 0.9714
O 0.2087 0.4639 0.0374
O 0.2515 0.4741 0.4498
O 0.3702 0.6298 0.7500
O 0.4639 0.2087 0.9626
O 0.4741 0.2515 0.5502
O 0.5259 0.7485 0.0503
O 0.5361 0.7913 0.4626
O 0.6298 0.3702 0.2500
O 0.7485 0.5259 0.9498
O 0.7913 0.5361 0.5374
O 0.7957 0.1702 0.4714
O 0.8292 0.8685 0.8253
O 0.8298 0.2043 0.0286
O 0.8685 0.8292 0.1747

---

Name the most stable of them. A.

---

A.
Tm2PO after structural relaxation. Source: the Alexandria database, functional PBE.

Cell: 3.5790 3.5790 19.3047 Å, 90.00 90.00 120.00°
Sites, in units of the cell vectors:
Tm 0.0000 0.0000 0.0000
Tm 0.0000 0.0000 0.1615
Tm 0.3333 0.6667 0.6667
Tm 0.3333 0.6667 0.8282
Tm 0.6667 0.3333 0.3333
Tm 0.6667 0.3333 0.4949
P 0.0000 0.0000 0.5808
P 0.3333 0.6667 0.2475
P 0.6667 0.3333 0.9141
O 0.0000 0.0000 0.4076
O 0.3333 0.6667 0.0743
O 0.6667 0.3333 0.7410

---

B.
Tm2PO after structural relaxation. Source: the Alexandria database, functional PBE.

Cell: 3.6765 3.6765 17.7135 Å, 90.00 90.00 120.00°
Sites, in units of the cell vectors:
Tm 0.0000 0.0000 0.2415
Tm 0.0000 0.0000 0.7585
Tm 0.3333 0.6667 0.4251
Tm 0.3333 0.6667 0.9082
Tm 0.6667 0.3333 0.0918
Tm 0.6667 0.3333 0.5749
P 0.0000 0.0000 0.0000
P 0.3333 0.6667 0.6667
P 0.6667 0.3333 0.3333
O 0.0000 0.0000 0.5000
O 0.3333 0.6667 0.1667
O 0.6667 0.3333 0.8333

---

Name the most stable of them. B.

---

A.
UPO5 after structural relaxation. Source: the Alexandria database, functional PBE.

Cell: 6.9561 6.9561 4.1908 Å, 90.00 90.00 90.00°
Sites, in units of the cell vectors:
U 0.2500 0.2500 0.2191
U 0.7500 0.7500 0.7809
P 0.2500 0.7500 0.0000
P 0.7500 0.2500 0.0000
O 0.0660 0.7500 0.7916
O 0.2500 0.2500 0.7259
O 0.2500 0.5660 0.2084
O 0.2500 0.9340 0.2084
O 0.4340 0.7500 0.7916
O 0.5660 0.2500 0.2084
O 0.7500 0.0660 0.7916
O 0.7500 0.4340 0.7916
O 0.7500 0.7500 0.2741
O 0.9340 0.2500 0.2084

---

B.
UPO5 after structural relaxation. Source: the Alexandria database, functional PBE.

Cell: 5.5303 8.9216 9.3193 Å, 102.16 102.73 97.98°
Sites, in units of the cell vectors:
U 0.1475 0.2025 0.4506
U 0.1618 0.6964 0.9473
U 0.8382 0.3036 0.0527
U 0.8525 0.7975 0.5494
P 0.2226 0.5774 0.3219
P 0.4050 0.9856 0.7368
P 0.5950 0.0144 0.2632
P 0.7774 0.4226 0.6781
O 0.0681 0.1950 0.9989
O 0.0718 0.6811 0.4103
O 0.1426 0.5694 0.1506
O 0.1461 0.4047 0.3289
O 0.2202 0.8574 0.7713
O 0.2206 0.0286 0.6036
O 0.3845 0.5890 0.8815
O 0.3869 0.0878 0.3253
O 0.4774 0.8754 0.1296
O 0.4946 0.3563 0.6065
O 0.5054 0.6437 0.3935
O 0.5226 0.1246 0.8704
O 0.6131 0.9122 0.6747
O 0.6155 0.4110 0.1185
O 0.7794 0.9714 0.3964
O 0.7798 0.1426 0.2287
O 0.8539 0.5953 0.6711
O 0.8574 0.4306 0.8494
O 0.9282 0.3189 0.5897
O 0.9319 0.8050 0.0011

---

Name the most stable of them. A.